Entry 1:
Here is a geometry-optimized KSrBr2 structure from the Alexandria database. Energies are from PBE.

Output
- ΔE_f (raw): -6.09 eV/f.u.
- Energy relative to the lowest polymorph listed for this composition: 0.10 eV per formula unit
- SG: Pm

Structure (POSCAR):
```
KSrBr2
1.0
4.528 0.000 0.000
0.000 6.082 0.000
-0.024 0.000 6.083
K Sr Br
1 1 2
Cartesian
0.000 0.000 0.000
2.247 3.041 2.989
2.231 0.000 2.959
2.244 3.041 6.029
```



Entry 2:
Here is a geometry-optimized Ce2HoTe3 structure from the Alexandria database. Energies are from PBE.

Output
- ΔE_f (raw): -7.98 eV/f.u.
- Energy relative to the lowest polymorph listed for this composition: 0.03 eV per formula unit
- SG: Immm

Structure (POSCAR):
```
Ce2HoTe3
1.0
-2.191 3.141 6.736
2.191 -3.141 6.736
2.191 3.141 -6.736
Ce Ho Te
2 1 3
Cartesian
0.000 0.000 2.294
0.000 0.000 11.177
0.000 0.000 6.736
2.191 0.000 0.000
2.191 0.000 4.592
0.000 3.141 2.144
```



Entry 3:
Here is a geometry-optimized LaCoSn2 structure from the Alexandria database. Energies are from PBE.

Output
- ΔE_f: -0.5032 eV/atom
- SG: Pnma

Structure (POSCAR):
```
LaCoSn2
1.0
7.455 0.000 0.000
0.000 4.545 0.000
0.000 0.000 11.285
La Co Sn
4 4 8
Cartesian
1.422 1.136 1.502
2.305 3.408 7.145
5.150 1.136 4.140
6.032 3.408 9.782
0.112 3.408 4.088
3.615 1.136 9.730
3.840 3.408 1.555
7.342 1.136 7.197
1.014 1.136 9.406
1.043 1.136 4.931
2.684 3.408 10.574
2.713 3.408 3.763
4.742 1.136 7.521
4.771 1.136 0.711
6.411 3.408 6.354
6.440 3.408 1.879
```